No. 1
CaUNiS3: relaxed, PBE.

Total moment: 8.00 Bohr magnetons per cell
ΔE_f (raw): -8.47 eV/f.u.

Cell: 3.794 12.508 10.114 Å, 90.00 90.00 90.00°
Space group Cmcm (No. 63)
Symmetry-distinct sites (fractional):
Ca1 0.000 0.249 0.250 x4
U1 0.000 0.500 0.000 x4
Ni1 0.000 0.024 0.750 x4
S1 0.000 0.142 0.579 x8
S2 0.000 0.422 0.750 x4

No. 2
YZrGa2Tc: relaxed, PBE.

Energy relative to the elements: 330 meV/atom
Total moment: 0.00 Bohr magnetons per cell

Cell: 4.835 4.835 5.006 Å, 90.00 90.00 90.00°
Space group P4/mmm (No. 123)
Symmetry-distinct sites (fractional):
Y1 0.000 0.000 0.000 x1
Zr1 0.500 0.500 0.000 x1
Ga1 0.000 0.500 0.500 x2
Tc1 0.000 0.000 0.500 x1

No. 3
RbZrI6: relaxed, PBE.

Total moment: 0.00 Bohr magnetons per cell
ΔE_f (raw): -6.91 eV/f.u.

Cell: 9.132 10.945 7.721 Å, 90.00 104.12 90.00°
Space group C2/m (No. 12)
Symmetry-distinct sites (fractional):
Rb1 0.000 0.000 0.000 x2
Zr1 0.000 0.500 0.500 x2
I1 0.130 0.318 0.759 x8
I2 0.230 0.000 0.628 x4

No. 4
Ho4GaRh2: relaxed, PBE.

Energy relative to the elements: -671 meV/atom
Total moment: 0.00 Bohr magnetons per cell
Energy above the most stable polymorph in this dataset: 0.00 eV/f.u.

Cell: 6.880 6.928 8.288 Å, 107.99 107.75 105.25°
Space group P1 (No. 1)
Symmetry-distinct sites (fractional):
Ho1 0.000 0.000 0.000 x1
Ho2 0.030 0.066 0.575 x1
Ho3 0.147 0.645 0.294 x1
Ho4 0.427 0.593 0.715 x1
Ho5 0.519 0.392 0.114 x1
Ho6 0.550 0.925 0.180 x1
Ho7 0.601 0.138 0.718 x1
Ho8 0.860 0.526 0.581 x1
Ga1 0.107 0.470 0.910 x1
Ga2 0.344 0.210 0.384 x1
Rh1 0.282 0.925 0.822 x1
Rh2 0.607 0.750 0.473 x1
Rh3 0.791 0.597 0.978 x1
Rh4 0.958 0.265 0.316 x1

No. 5
SrSc2Cl: relaxed, PBE.

Total moment: 2.04 Bohr magnetons per cell
ΔE_f (raw): -1.35 eV/f.u.
Energy above the most stable polymorph in this dataset: 0.96 eV/f.u.

Cell: 3.5403 3.5403 29.3574 Å, 90.00 90.00 120.00°
Space group R-3m (No. 166, hexagonal axes)
Symmetry-distinct sites (fractional):
Sr1 0.0000 0.0000 0.0000 x3
Sc1 0.0000 0.0000 0.2308 x6
Cl1 0.0000 0.0000 0.5000 x3

No. 6
YHfNi3: relaxed, PBE.

Energy relative to the elements: 339 meV/atom
Total moment: 0.00 Bohr magnetons per cell
Energy above the most stable polymorph in this dataset: 0.00 eV/f.u.

Cell: 4.629 4.629 4.629 Å, 90.00 90.00 90.00°
Space group Pm-3m (No. 221)
Symmetry-distinct sites (fractional):
Y1 0.000 0.000 0.000 x1
Hf1 0.500 0.500 0.500 x1
Ni1 0.000 0.500 0.500 x3

No. 7
TiPtS3: relaxed, PBE.

Total moment: 0.01 Bohr magnetons per cell
ΔE_f (raw): 1.83 eV/f.u.
Energy above the most stable polymorph in this dataset: 0.85 eV/f.u.

Cell: 4.655 4.655 4.655 Å, 90.00 90.00 90.00°
Space group Pm-3m (No. 221)
Symmetry-distinct sites (fractional):
Ti1 0.000 0.000 0.000 x1
Pt1 0.500 0.500 0.500 x1
S1 0.000 0.500 0.500 x3

No. 8
Zn2CrMo: relaxed, PBE.

Energy relative to the elements: 170 meV/atom
Total moment: 1.28 Bohr magnetons per cell
Energy above the most stable polymorph in this dataset: 0.15 eV/f.u.

Cell: 9.393 3.346 3.891 Å, 90.00 114.38 90.00°
Space group C2/m (No. 12)
Symmetry-distinct sites (fractional):
Zn1 0.246 0.000 0.246 x4
Cr1 0.000 0.500 0.000 x2
Mo1 0.000 0.000 0.500 x2

No. 9
CeThZr: relaxed, PBE.

Energy relative to the elements: 82 meV/atom
Total moment: 0.01 Bohr magnetons per cell
Energy above the most stable polymorph in this dataset: 0.05 eV/f.u.

Cell: 3.397 3.397 14.364 Å, 90.00 90.00 90.00°
Space group I4mm (No. 107)
Symmetry-distinct sites (fractional):
Ce1 0.000 0.000 0.000 x2
Th1 0.000 0.000 0.672 x2
Zr1 0.000 0.000 0.335 x2

No. 10
LaYIr: relaxed, PBE.

Energy relative to the elements: -618 meV/atom
Total moment: 0.00 Bohr magnetons per cell
Energy above the most stable polymorph in this dataset: 0.00 eV/f.u.

Cell: 6.816 6.816 6.954 Å, 90.00 91.17 90.00°
Space group C2/m (No. 12)
Symmetry-distinct sites (fractional):
La1 0.247 0.000 0.382 x4
Y1 0.000 0.252 0.000 x4
Ir1 0.240 0.000 0.765 x4

No. 11
ZrTaTe4: relaxed, PBE.

Total moment: 0.02 Bohr magnetons per cell
ΔE_f (raw): -3.48 eV/f.u.
Energy above the most stable polymorph in this dataset: 0.05 eV/f.u.

Cell: 3.8105 3.8105 14.2297 Å, 90.00 90.00 120.00°
Space group P-3m1 (No. 164)
Symmetry-distinct sites (fractional):
Zr1 0.0000 0.0000 0.0000 x1
Ta1 0.0000 0.0000 0.5000 x1
Te1 0.3333 0.6667 0.3749 x2
Te2 0.3333 0.6667 0.8672 x2

No. 12
La6C2NCl3: relaxed, PBE.

Total moment: 0.00 Bohr magnetons per cell
ΔE_f (raw): -14.91 eV/f.u.

Cell: 6.610 11.450 7.657 Å, 90.00 106.73 90.00°
Space group C2/m (No. 12)
Symmetry-distinct sites (fractional):
La1 0.229 0.165 0.192 x8
La2 0.234 0.500 0.192 x4
C1 0.000 0.334 0.000 x4
N1 0.000 0.000 0.000 x2
Cl1 0.000 0.170 0.500 x4
Cl2 0.000 0.500 0.500 x2

Number 1: volume 479.9 Å³ per cell, energy -159.7 eV per cell, D(E_F) 1.0750 states/eV/atom. Number 2: volume 117.0 Å³ per cell, energy -29.8 eV per cell, D(E_F) 0.6512 states/eV/atom. Number 3: volume 748.4 Å³ per cell, energy -51.5 eV per cell, D(E_F) 1.0260 states/eV/atom. Number 4: volume 328.9 Å³ per cell, energy -81.5 eV per cell, D(E_F) 0.7283 states/eV/atom. Number 5: volume 318.7 Å³ per cell, energy -52.6 eV per cell, D(E_F) 1.4082 states/eV/atom. Number 6: volume 99.2 Å³ per cell, energy -32.1 eV per cell, D(E_F) 0.5801 states/eV/atom. Number 7: volume 100.9 Å³ per cell, energy -24.5 eV per cell, D(E_F) 1.7228 states/eV/atom. Number 8: volume 111.4 Å³ per cell, energy -44.6 eV per cell, D(E_F) 0.5199 states/eV/atom. Number 9: volume 165.7 Å³ per cell, energy -43.3 eV per cell, D(E_F) 1.7452 states/eV/atom. Number 10: volume 323.0 Å³ per cell, energy -88.4 eV per cell, D(E_F) 0.9899 states/eV/atom. Number 11: volume 178.9 Å³ per cell, energy -36.4 eV per cell, D(E_F) 0.7004 states/eV/atom. Number 12: volume 555.0 Å³ per cell, energy -153.6 eV per cell, D(E_F) 0.4478 states/eV/atom.